[1]
A geometry-optimized Ce6AlCd structure, computed with PBE.

Cell and atoms, written as CIF:
```
data_Ce6AlCd
_chemical_formula_sum 'Ce6 Al1 Cd1'
_cell_length_a 4.7250
_cell_length_b 4.7250
_cell_length_c 9.4791
_cell_angle_alpha 90.00
_cell_angle_beta 90.00
_cell_angle_gamma 90.00
_space_group_name_H-M_alt 'P 4/m m m'
_space_group_IT_number 123
_space_group_name_Hall '-P 4 2'
loop_
_atom_site_label
_atom_site_fract_x
_atom_site_fract_y
_atom_site_fract_z
Ce1 0.0000 0.0000 0.0000
Ce2 0.0000 0.0000 0.5000
Ce3 0.0000 0.5000 0.2407
Al1 0.5000 0.5000 0.0000
Cd1 0.5000 0.5000 0.5000
```

---

[2]
A geometry-optimized CeAl2Cd structure, computed with PBE.

Cell and atoms, written as CIF:
```
data_CeAl2Cd
_chemical_formula_sum 'Ce3 Al6 Cd3'
_cell_length_a 4.5189
_cell_length_b 4.5189
_cell_length_c 15.6252
_cell_angle_alpha 90.00
_cell_angle_beta 90.00
_cell_angle_gamma 120.00
_space_group_name_H-M_alt 'R -3 m'
_space_group_IT_number 166
_space_group_name_Hall '-R 3 2"'
loop_
_atom_site_label
_atom_site_fract_x
_atom_site_fract_y
_atom_site_fract_z
Ce1 0.0000 0.0000 0.0000
Al1 0.0000 0.0000 0.2197
Cd1 0.0000 0.0000 0.5000
```

---

[3]
A geometry-optimized CeDyAlCd structure, computed with PBE.

Cell and atoms, written as CIF:
```
data_CeDyAlCd
_chemical_formula_sum 'Ce4 Dy4 Al4 Cd4'
_cell_length_a 7.4303
_cell_length_b 7.4303
_cell_length_c 7.4303
_cell_angle_alpha 90.00
_cell_angle_beta 90.00
_cell_angle_gamma 90.00
_space_group_name_H-M_alt 'F -4 3 m'
_space_group_IT_number 216
_space_group_name_Hall 'F -4 2 3'
loop_
_atom_site_label
_atom_site_fract_x
_atom_site_fract_y
_atom_site_fract_z
Ce1 0.0000 0.0000 0.0000
Dy1 0.0000 0.0000 0.5000
Al1 0.2500 0.2500 0.2500
Cd1 0.2500 0.2500 0.7500
```

---

[4]
A geometry-optimized CeErAlCd structure, computed with PBE.

Cell and atoms, written as CIF:
```
data_CeErAlCd
_chemical_formula_sum 'Ce4 Er4 Al4 Cd4'
_cell_length_a 7.3988
_cell_length_b 7.3988
_cell_length_c 7.3988
_cell_angle_alpha 90.00
_cell_angle_beta 90.00
_cell_angle_gamma 90.00
_space_group_name_H-M_alt 'F -4 3 m'
_space_group_IT_number 216
_space_group_name_Hall 'F -4 2 3'
loop_
_atom_site_label
_atom_site_fract_x
_atom_site_fract_y
_atom_site_fract_z
Ce1 0.0000 0.0000 0.0000
Er1 0.0000 0.0000 0.5000
Al1 0.2500 0.2500 0.2500
Cd1 0.2500 0.2500 0.7500
```

---

[5]
A geometry-optimized CeEuAlCd structure, computed with PBE.

Cell and atoms, written as CIF:
```
data_CeEuAlCd
_chemical_formula_sum 'Ce4 Eu4 Al4 Cd4'
_cell_length_a 7.6254
_cell_length_b 7.6254
_cell_length_c 7.6254
_cell_angle_alpha 90.00
_cell_angle_beta 90.00
_cell_angle_gamma 90.00
_space_group_name_H-M_alt 'F -4 3 m'
_space_group_IT_number 216
_space_group_name_Hall 'F -4 2 3'
loop_
_atom_site_label
_atom_site_fract_x
_atom_site_fract_y
_atom_site_fract_z
Ce1 0.0000 0.0000 0.0000
Eu1 0.0000 0.0000 0.5000
Al1 0.2500 0.2500 0.2500
Cd1 0.2500 0.2500 0.7500
```

---

[6]
A geometry-optimized CeGdAlCd structure, computed with PBE.

Cell and atoms, written as CIF:
```
data_CeGdAlCd
_chemical_formula_sum 'Ce4 Gd4 Al4 Cd4'
_cell_length_a 7.4846
_cell_length_b 7.4846
_cell_length_c 7.4846
_cell_angle_alpha 90.00
_cell_angle_beta 90.00
_cell_angle_gamma 90.00
_space_group_name_H-M_alt 'F -4 3 m'
_space_group_IT_number 216
_space_group_name_Hall 'F -4 2 3'
loop_
_atom_site_label
_atom_site_fract_x
_atom_site_fract_y
_atom_site_fract_z
Ce1 0.0000 0.0000 0.0000
Gd1 0.0000 0.0000 0.5000
Al1 0.2500 0.2500 0.7500
Cd1 0.2500 0.2500 0.2500
```

---

[7]
A geometry-optimized CeAlCdHg structure, computed with PBE.

Cell and atoms, written as CIF:
```
data_CeAlCdHg
_chemical_formula_sum 'Ce4 Al4 Cd4 Hg4'
_cell_length_a 7.2176
_cell_length_b 7.2176
_cell_length_c 7.2176
_cell_angle_alpha 90.00
_cell_angle_beta 90.00
_cell_angle_gamma 90.00
_space_group_name_H-M_alt 'F -4 3 m'
_space_group_IT_number 216
_space_group_name_Hall 'F -4 2 3'
loop_
_atom_site_label
_atom_site_fract_x
_atom_site_fract_y
_atom_site_fract_z
Ce1 0.0000 0.0000 0.0000
Al1 0.2500 0.2500 0.7500
Cd1 0.0000 0.0000 0.5000
Hg1 0.2500 0.2500 0.2500
```

---

[8]
A geometry-optimized CeAlCdIn structure, computed with PBE.

Cell and atoms, written as CIF:
```
data_CeAlCdIn
_chemical_formula_sum 'Ce4 Al4 Cd4 In4'
_cell_length_a 7.2295
_cell_length_b 7.2295
_cell_length_c 7.2295
_cell_angle_alpha 90.00
_cell_angle_beta 90.00
_cell_angle_gamma 90.00
_space_group_name_H-M_alt 'F -4 3 m'
_space_group_IT_number 216
_space_group_name_Hall 'F -4 2 3'
loop_
_atom_site_label
_atom_site_fract_x
_atom_site_fract_y
_atom_site_fract_z
Ce1 0.0000 0.0000 0.0000
Al1 0.2500 0.2500 0.7500
Cd1 0.0000 0.0000 0.5000
In1 0.2500 0.2500 0.2500
```

---

[9]
A geometry-optimized CeLuAlCd structure, computed with PBE.

Cell and atoms, written as CIF:
```
data_CeLuAlCd
_chemical_formula_sum 'Ce4 Lu4 Al4 Cd4'
_cell_length_a 7.3570
_cell_length_b 7.3570
_cell_length_c 7.3570
_cell_angle_alpha 90.00
_cell_angle_beta 90.00
_cell_angle_gamma 90.00
_space_group_name_H-M_alt 'F -4 3 m'
_space_group_IT_number 216
_space_group_name_Hall 'F -4 2 3'
loop_
_atom_site_label
_atom_site_fract_x
_atom_site_fract_y
_atom_site_fract_z
Ce1 0.0000 0.0000 0.0000
Lu1 0.0000 0.0000 0.5000
Al1 0.2500 0.2500 0.2500
Cd1 0.2500 0.2500 0.7500
```

---

[10]
A geometry-optimized CeMgAlCd structure, computed with PBE.

Cell and atoms, written as CIF:
```
data_CeMgAlCd
_chemical_formula_sum 'Ce4 Mg4 Al4 Cd4'
_cell_length_a 7.1942
_cell_length_b 7.1942
_cell_length_c 7.1942
_cell_angle_alpha 90.00
_cell_angle_beta 90.00
_cell_angle_gamma 90.00
_space_group_name_H-M_alt 'F -4 3 m'
_space_group_IT_number 216
_space_group_name_Hall 'F -4 2 3'
loop_
_atom_site_label
_atom_site_fract_x
_atom_site_fract_y
_atom_site_fract_z
Ce1 0.0000 0.0000 0.0000
Mg1 0.0000 0.0000 0.5000
Al1 0.2500 0.2500 0.2500
Cd1 0.2500 0.2500 0.7500
```

---

[11]
A geometry-optimized Ce2Al4CdPd3 structure, computed with PBE.

Cell and atoms, written as CIF:
```
data_Ce2Al4CdPd3
_chemical_formula_sum 'Ce2 Al4 Cd1 Pd3'
_cell_length_a 4.3074
_cell_length_b 4.3074
_cell_length_c 10.7325
_cell_angle_alpha 90.00
_cell_angle_beta 90.00
_cell_angle_gamma 90.00
_space_group_name_H-M_alt 'P -4 m 2'
_space_group_IT_number 115
loop_
_space_group_symop_operation_xyz
'x,y,z'
'y,-x,-z'
'-x,-y,z'
'-y,x,-z'
'-x,y,z'
'-y,-x,-z'
'x,-y,z'
'y,x,-z'
loop_
_atom_site_label
_atom_site_fract_x
_atom_site_fract_y
_atom_site_fract_z
Ce1 0.0000 0.5000 0.2407
Al1 0.0000 0.0000 0.0000
Al2 0.0000 0.5000 0.6430
Al3 0.5000 0.5000 0.0000
Cd1 0.0000 0.0000 0.5000
Pd1 0.0000 0.5000 0.8730
Pd2 0.5000 0.5000 0.5000
```

---

[12]
A geometry-optimized CeAlCd2Pd4 structure, computed with PBE.

Cell and atoms, written as CIF:
```
data_CeAlCd2Pd4
_chemical_formula_sum 'Ce3 Al3 Cd6 Pd12'
_cell_length_a 4.7030
_cell_length_b 4.7030
_cell_length_c 22.8954
_cell_angle_alpha 90.00
_cell_angle_beta 90.00
_cell_angle_gamma 120.00
_space_group_name_H-M_alt 'R -3 m'
_space_group_IT_number 166
_space_group_name_Hall '-R 3 2"'
loop_
_atom_site_label
_atom_site_fract_x
_atom_site_fract_y
_atom_site_fract_z
Ce1 0.0000 0.0000 0.0000
Al1 0.0000 0.0000 0.5000
Cd1 0.0000 0.0000 0.2502
Pd1 0.0000 0.0000 0.1297
Pd2 0.0000 0.0000 0.3901
```

---

Number 1: DFT total energy -5.12 eV per atom. Number 2: DFT total energy -3.74 eV per atom. Number 3: DFT total energy -4.06 eV per atom. Number 4: DFT total energy -4.05 eV per atom. Number 5: DFT total energy -5.42 eV per atom. Number 6: DFT total energy -6.43 eV per atom. Number 7: DFT total energy -2.94 eV per atom. Number 8: DFT total energy -3.50 eV per atom. Number 9: DFT total energy -4.04 eV per atom. Number 10: DFT total energy -3.26 eV per atom. Number 11: DFT total energy -4.99 eV per atom. Number 12: DFT total energy -4.60 eV per atom.